{"formula": "YCd6Au", "functional": "PBE", "state": "relaxed", "lattice": [[-4.799, -0.354, 0.598], [-0.167, -4.440, -3.968], [0.979, -2.000, 6.668]], "species": ["Cd", "Cd", "Y", "Cd", "Cd", "Cd", "Cd", "Au"], "frac_coords": [[0.500, 0.672, 0.863], [0.000, 0.822, 0.158], [0.500, 0.697, 0.395], [0.000, 0.291, 0.583], [0.500, 0.191, 0.863], [0.000, 0.857, 0.714], [0.000, 0.336, 0.158], [0.500, 0.133, 0.267]], "n_ef_per_ev_fu": 3.46, "dft_energy_ev_per_atom": -2.091, "formation_energy_ev_per_atom": -0.19}